A geometry-optimized CaPmY2Bi4 structure, computed with PBE.

a b c (Å): 4.512 7.906 7.867
angles (deg): 70.87 90.00 90.00
Fractional coordinates of all 8 atoms:
Bi 0.500 0.243 0.752
Bi 0.500 0.757 0.248
Bi 0.000 0.758 0.746
Bi 0.000 0.242 0.254
Y 0.000 0.000 0.000
Y 0.500 0.000 0.500
Pm 0.000 0.500 0.500
Ca 0.500 0.500 0.000

Space group: P2/m
ρ: 7507 kg/m3
Calculated formation energy: -0.843 eV per atom